1.
A plane-wave DFT calculation with PBE-GGA was carried out for a geometry-optimized NdGa4CoPt2 structure.

Computed properties:
energy	-5.1358	eV/atom
space-group type	R-3m (166)

abc: 9.100 9.100 9.100
angles: 27.04 27.04 27.04
Sites, in units of the cell vectors:
Nd: 0.000 0.000 0.000
Ga: 0.135 0.135 0.135
Ga: 0.402 0.402 0.402
Ga: 0.598 0.598 0.598
Ga: 0.865 0.865 0.865
Co: 0.500 0.500 0.500
Pt: 0.235 0.235 0.235
Pt: 0.765 0.765 0.765

---

2.
A plane-wave DFT calculation with PBE-GGA was carried out for a geometry-optimized Nd2Ga3CoPt4 structure.

Computed properties:
energy	-5.8184	eV/atom
space-group type	P-4m2 (115)

abc: 4.165 4.165 10.862
angles: 90.00 90.00 90.00
Sites, in units of the cell vectors:
Nd: 0.000 0.500 0.243
Nd: 0.500 0.000 0.757
Ga: 0.000 0.000 0.000
Ga: 0.000 0.500 0.635
Ga: 0.500 0.000 0.365
Co: 0.500 0.500 0.000
Pt: 0.000 0.000 0.500
Pt: 0.000 0.500 0.866
Pt: 0.500 0.000 0.134
Pt: 0.500 0.500 0.500

---

3.
A plane-wave DFT calculation with PBE-GGA was carried out for a geometry-optimized Nd2Ga4CoPt3 structure.

Computed properties:
energy	-5.5187	eV/atom
space-group type	P-4m2 (115)

abc: 4.220 4.220 10.599
angles: 90.00 90.00 90.00
Sites, in units of the cell vectors:
Nd: 0.000 0.500 0.244
Nd: 0.500 0.000 0.756
Ga: 0.000 0.000 0.500
Ga: 0.000 0.500 0.876
Ga: 0.500 0.000 0.124
Ga: 0.500 0.500 0.500
Co: 0.500 0.500 0.000
Pt: 0.000 0.000 0.000
Pt: 0.000 0.500 0.637
Pt: 0.500 0.000 0.363

---

4.
A plane-wave DFT calculation with PBE-GGA was carried out for a geometry-optimized NdGa2CoRh structure.

Computed properties:
energy	-5.6407	eV/atom
space-group type	I-4m2 (119)

abc: 4.206 4.206 10.114
angles: 90.00 90.00 90.00
Sites, in units of the cell vectors:
Nd: 0.000 0.000 0.000
Nd: 0.500 0.500 0.500
Ga: 0.000 0.000 0.370
Ga: 0.000 0.000 0.630
Ga: 0.500 0.500 0.130
Ga: 0.500 0.500 0.870
Co: 0.000 0.500 0.750
Co: 0.500 0.000 0.250
Rh: 0.000 0.500 0.250
Rh: 0.500 0.000 0.750

---

5.
A plane-wave DFT calculation with PBE-GGA was carried out for a geometry-optimized Nd2Ga6CoRu structure.

Computed properties:
energy	-4.8199	eV/atom
space-group type	Fm-3m (225)

abc: 6.584 6.584 6.584
angles: 60.00 60.00 60.00
Sites, in units of the cell vectors:
Nd: 0.250 0.250 0.250
Nd: 0.750 0.750 0.750
Ga: 0.243 0.243 0.757
Ga: 0.243 0.757 0.243
Ga: 0.243 0.757 0.757
Ga: 0.757 0.243 0.243
Ga: 0.757 0.243 0.757
Ga: 0.757 0.757 0.243
Co: 0.000 0.000 0.000
Ru: 0.500 0.500 0.500

---

6.
A plane-wave DFT calculation with PBE-GGA was carried out for a geometry-optimized NdGa2CoRu structure.

Computed properties:
energy	-5.8372	eV/atom
space-group type	I-4m2 (119)

abc: 4.302 4.302 9.723
angles: 90.00 90.00 90.00
Sites, in units of the cell vectors:
Nd: 0.000 0.000 0.000
Nd: 0.500 0.500 0.500
Ga: 0.000 0.000 0.365
Ga: 0.000 0.000 0.635
Ga: 0.500 0.500 0.135
Ga: 0.500 0.500 0.865
Co: 0.000 0.500 0.250
Co: 0.500 0.000 0.750
Ru: 0.000 0.500 0.750
Ru: 0.500 0.000 0.250

---

7.
A plane-wave DFT calculation with PBE-GGA was carried out for a geometry-optimized Nd3GaCoS7 structure.

Computed properties:
space-group type	P6_3 (173)
energy relative to the elements, uncorrected	-17.6	eV/f.u.

abc: 9.825 9.825 6.245
angles: 90.00 90.00 120.00
Sites, in units of the cell vectors:
Nd: 0.158 0.784 0.000
Nd: 0.216 0.374 0.000
Nd: 0.374 0.158 0.500
Nd: 0.626 0.842 0.000
Nd: 0.784 0.626 0.500
Nd: 0.842 0.216 0.500
Ga: 0.333 0.667 0.424
Ga: 0.667 0.333 0.924
Co: 0.000 0.000 0.339
Co: 0.000 0.000 0.839
S: 0.088 0.523 0.277
S: 0.093 0.877 0.594
S: 0.123 0.216 0.594
S: 0.216 0.093 0.094
S: 0.333 0.667 0.785
S: 0.435 0.912 0.277
S: 0.477 0.565 0.277
S: 0.523 0.435 0.777
S: 0.565 0.088 0.777
S: 0.667 0.333 0.285
S: 0.784 0.907 0.594
S: 0.877 0.784 0.094
S: 0.907 0.123 0.094
S: 0.912 0.477 0.777

---

8.
A plane-wave DFT calculation with PBE-GGA was carried out for a geometry-optimized Nd3GaCoSe7 structure.

Computed properties:
space-group type	P6_3 (173)
energy relative to the elements, uncorrected	-15.7	eV/f.u.

abc: 10.206 10.206 6.592
angles: 90.00 90.00 120.00
Sites, in units of the cell vectors:
Nd: 0.165 0.374 0.000
Nd: 0.209 0.835 0.000
Nd: 0.374 0.209 0.500
Nd: 0.626 0.791 0.000
Nd: 0.791 0.165 0.500
Nd: 0.835 0.626 0.500
Ga: 0.333 0.667 0.581
Ga: 0.667 0.333 0.081
Co: 0.000 0.000 0.158
Co: 0.000 0.000 0.658
Se: 0.082 0.558 0.725
Se: 0.099 0.221 0.404
Se: 0.122 0.901 0.404
Se: 0.221 0.122 0.904
Se: 0.333 0.667 0.216
Se: 0.442 0.524 0.725
Se: 0.476 0.918 0.725
Se: 0.524 0.082 0.225
Se: 0.558 0.476 0.225
Se: 0.667 0.333 0.716
Se: 0.779 0.878 0.404
Se: 0.878 0.099 0.904
Se: 0.901 0.779 0.904
Se: 0.918 0.442 0.225

---

9.
A plane-wave DFT calculation with PBE-GGA was carried out for a geometry-optimized NdSmGaCo structure.

Computed properties:
energy	-5.1234	eV/atom
space-group type	F-43m (216)

abc: 7.174 7.174 7.174
angles: 90.00 90.00 90.00
Sites, in units of the cell vectors:
Nd: 0.000 0.000 0.000
Nd: 0.000 0.500 0.500
Nd: 0.500 0.000 0.500
Nd: 0.500 0.500 0.000
Sm: 0.000 0.000 0.500
Sm: 0.000 0.500 0.000
Sm: 0.500 0.000 0.000
Sm: 0.500 0.500 0.500
Ga: 0.250 0.250 0.750
Ga: 0.250 0.750 0.250
Ga: 0.750 0.250 0.250
Ga: 0.750 0.750 0.750
Co: 0.250 0.250 0.250
Co: 0.250 0.750 0.750
Co: 0.750 0.250 0.750
Co: 0.750 0.750 0.250

---

10.
A plane-wave DFT calculation with PBE-GGA was carried out for a geometry-optimized NdSmGaCo structure.

Computed properties:
energy	-5.2109	eV/atom
space-group type	Amm2 (38)

abc: 4.161 4.262 10.571
angles: 90.00 90.00 90.00
Sites, in units of the cell vectors:
Nd: 0.000 0.000 0.000
Nd: 0.000 0.500 0.500
Sm: 0.500 0.000 0.285
Sm: 0.500 0.500 0.785
Ga: 0.500 0.000 0.585
Ga: 0.500 0.500 0.085
Co: 0.000 0.000 0.714
Co: 0.000 0.500 0.214

---

11.
A plane-wave DFT calculation with PBE-GGA was carried out for a geometry-optimized NdGa3CoTc structure.

Computed properties:
energy	-5.4093	eV/atom
space-group type	Cmcm (63)

abc: 6.439 6.439 6.005
angles: 90.00 90.00 108.69
Sites, in units of the cell vectors:
Nd: 0.233 0.767 0.750
Nd: 0.767 0.233 0.250
Ga: 0.256 0.256 0.000
Ga: 0.256 0.256 0.500
Ga: 0.286 0.714 0.250
Ga: 0.714 0.286 0.750
Ga: 0.744 0.744 0.000
Ga: 0.744 0.744 0.500
Co: 0.497 0.503 0.750
Co: 0.503 0.497 0.250
Tc: 0.059 0.941 0.250
Tc: 0.941 0.059 0.750

---

12.
A plane-wave DFT calculation with PBE-GGA was carried out for a geometry-optimized NdTmGaCo structure.

Computed properties:
energy	-5.1072	eV/atom
space-group type	F-43m (216)

abc: 7.042 7.042 7.042
angles: 90.00 90.00 90.00
Sites, in units of the cell vectors:
Nd: 0.000 0.000 0.000
Nd: 0.000 0.500 0.500
Nd: 0.500 0.000 0.500
Nd: 0.500 0.500 0.000
Tm: 0.000 0.000 0.500
Tm: 0.000 0.500 0.000
Tm: 0.500 0.000 0.000
Tm: 0.500 0.500 0.500
Ga: 0.250 0.250 0.750
Ga: 0.250 0.750 0.250
Ga: 0.750 0.250 0.250
Ga: 0.750 0.750 0.750
Co: 0.250 0.250 0.250
Co: 0.250 0.750 0.750
Co: 0.750 0.250 0.750
Co: 0.750 0.750 0.250

---

13.
A plane-wave DFT calculation with PBE-GGA was carried out for a geometry-optimized NdZnGa2Co2 structure.

Computed properties:
energy	-4.4605	eV/atom
space-group type	P4/mmm (123)

abc: 4.395 4.395 5.569
angles: 90.00 90.00 90.00
Sites, in units of the cell vectors:
Nd: 0.000 0.000 0.000
Zn: 0.000 0.000 0.500
Ga: 0.500 0.500 0.254
Ga: 0.500 0.500 0.746
Co: 0.000 0.500 0.500
Co: 0.500 0.000 0.500

---

14.
A plane-wave DFT calculation with PBE-GGA was carried out for a geometry-optimized GaCoNi2 structure.

Computed properties:
energy	-5.2282	eV/atom
space-group type	I-42d (122)

abc: 3.463 3.463 16.890
angles: 90.00 90.00 90.00
Sites, in units of the cell vectors:
Ga: 0.000 0.000 0.000
Ga: 0.000 0.500 0.250
Ga: 0.500 0.000 0.750
Ga: 0.500 0.500 0.500
Co: 0.000 0.000 0.500
Co: 0.000 0.500 0.750
Co: 0.500 0.000 0.250
Co: 0.500 0.500 0.000
Ni: 0.247 0.250 0.625
Ni: 0.250 0.747 0.875
Ni: 0.250 0.753 0.375
Ni: 0.253 0.250 0.125
Ni: 0.747 0.750 0.125
Ni: 0.750 0.247 0.375
Ni: 0.750 0.253 0.875
Ni: 0.753 0.750 0.625

---

15.
A plane-wave DFT calculation with PBE-GGA was carried out for a geometry-optimized Ga2CoNi9 structure.

Computed properties:
energy	-5.6219	eV/atom
space-group type	P4/mmm (123)

abc: 3.567 3.567 10.657
angles: 90.00 90.00 90.00
Sites, in units of the cell vectors:
Ga: 0.000 0.000 0.168
Ga: 0.000 0.000 0.832
Co: 0.000 0.000 0.500
Ni: 0.000 0.500 0.000
Ni: 0.000 0.500 0.339
Ni: 0.000 0.500 0.661
Ni: 0.500 0.000 0.000
Ni: 0.500 0.000 0.339
Ni: 0.500 0.000 0.661
Ni: 0.500 0.500 0.169
Ni: 0.500 0.500 0.500
Ni: 0.500 0.500 0.831

---

16.
A plane-wave DFT calculation with PBE-GGA was carried out for a geometry-optimized Ga4Co5Ni structure.

Computed properties:
energy	-5.5290	eV/atom
space-group type	P4/mmm (123)

abc: 2.897 2.897 14.076
angles: 90.00 90.00 90.00
Sites, in units of the cell vectors:
Ga: 0.000 0.000 0.102
Ga: 0.000 0.000 0.307
Ga: 0.000 0.000 0.693
Ga: 0.000 0.000 0.898
Co: 0.500 0.500 0.000
Co: 0.500 0.500 0.203
Co: 0.500 0.500 0.406
Co: 0.500 0.500 0.594
Co: 0.500 0.500 0.797
Ni: 0.000 0.000 0.500

---

17.
A plane-wave DFT calculation with PBE-GGA was carried out for a geometry-optimized GaCoNi3 structure.

Computed properties:
energy	-5.2172	eV/atom
space-group type	P6_3/mmc (194)

abc: 5.961 5.961 4.286
angles: 90.00 90.00 120.00
Sites, in units of the cell vectors:
Ga: 0.333 0.667 0.250
Ga: 0.667 0.333 0.750
Co: 0.000 0.000 0.000
Co: 0.000 0.000 0.500
Ni: 0.201 0.402 0.750
Ni: 0.201 0.799 0.750
Ni: 0.402 0.201 0.250
Ni: 0.598 0.799 0.750
Ni: 0.799 0.201 0.250
Ni: 0.799 0.598 0.250

---

18.
A plane-wave DFT calculation with PBE-GGA was carried out for a geometry-optimized GaCoNi14 structure.

Computed properties:
energy	-5.7380	eV/atom
space-group type	Amm2 (38)

abc: 8.168 4.994 4.994
angles: 60.01 90.00 90.00
Sites, in units of the cell vectors:
Ga: 0.000 0.000 0.000
Co: 0.000 0.499 0.499
Ni: 0.000 0.002 0.500
Ni: 0.000 0.500 0.002
Ni: 0.250 0.334 0.334
Ni: 0.251 0.336 0.832
Ni: 0.251 0.832 0.336
Ni: 0.252 0.833 0.833
Ni: 0.500 0.166 0.667
Ni: 0.500 0.167 0.167
Ni: 0.500 0.666 0.666
Ni: 0.500 0.667 0.166
Ni: 0.748 0.833 0.833
Ni: 0.749 0.336 0.832
Ni: 0.749 0.832 0.336
Ni: 0.750 0.334 0.334

---

19.
A plane-wave DFT calculation with PBE-GGA was carried out for a geometry-optimized Ga3CoNi structure.

Computed properties:
energy	-4.7015	eV/atom
space-group type	P2/m (10)

abc: 6.677 2.707 8.262
angles: 90.00 107.19 90.00
Sites, in units of the cell vectors:
Ga: 0.013 0.000 0.256
Ga: 0.334 0.000 0.579
Ga: 0.338 0.000 0.081
Ga: 0.662 0.000 0.919
Ga: 0.666 0.000 0.421
Ga: 0.987 0.000 0.744
Co: 0.328 0.500 0.327
Co: 0.672 0.500 0.673
Ni: 0.304 0.500 0.821
Ni: 0.696 0.500 0.179

---

20.
A plane-wave DFT calculation with PBE-GGA was carried out for a geometry-optimized Ga6CoNi5 structure.

Computed properties:
energy	-4.8570	eV/atom
space-group type	C2/m (12)

abc: 7.089 7.089 4.102
angles: 105.60 105.60 48.85
Sites, in units of the cell vectors:
Ga: 0.084 0.585 0.337
Ga: 0.248 0.752 0.000
Ga: 0.415 0.916 0.663
Ga: 0.585 0.084 0.337
Ga: 0.752 0.248 0.000
Ga: 0.916 0.415 0.663
Co: 0.000 0.000 0.500
Ni: 0.168 0.168 0.165
Ni: 0.332 0.332 0.838
Ni: 0.500 0.500 0.500
Ni: 0.668 0.668 0.162
Ni: 0.832 0.832 0.835

---

21.
A plane-wave DFT calculation with PBE-GGA was carried out for a geometry-optimized Ga4CoNi7 structure.

Computed properties:
energy	-4.9878	eV/atom
space-group type	C2/m (12)

abc: 5.236 5.236 8.704
angles: 116.65 116.65 48.85
Sites, in units of the cell vectors:
Ga: 0.092 0.092 0.274
Ga: 0.246 0.246 0.824
Ga: 0.754 0.754 0.176
Ga: 0.908 0.908 0.726
Co: 0.500 0.500 0.500
Ni: 0.000 0.000 0.500
Ni: 0.139 0.139 0.023
Ni: 0.290 0.290 0.581
Ni: 0.435 0.435 0.167
Ni: 0.565 0.565 0.833
Ni: 0.710 0.710 0.419
Ni: 0.861 0.861 0.977

---

22.
A plane-wave DFT calculation with PBE-GGA was carried out for a geometry-optimized GaCoNi4 structure.

Computed properties:
energy	-5.2816	eV/atom
space-group type	I4_1/a (88)

abc: 6.012 6.012 6.012
angles: 118.97 118.97 91.80
Sites, in units of the cell vectors:
Ga: 0.375 0.125 0.250
Ga: 0.625 0.875 0.750
Co: 0.125 0.375 0.750
Co: 0.875 0.625 0.250
Ni: 0.016 0.986 0.740
Ni: 0.224 0.484 0.470
Ni: 0.254 0.724 0.240
Ni: 0.486 0.246 0.970
Ni: 0.514 0.754 0.030
Ni: 0.746 0.276 0.760
Ni: 0.776 0.516 0.530
Ni: 0.984 0.014 0.260

---

Values for M_tot, μB/cell, ordered as above
0.3, 1.5, 0.0, 0.0, 0.0, 0.0, 1.9, 1.9, 4.2, 0.0, 0.2, 4.3, 1.4, 8.1, 5.5, 2.1, 5.2, 9.2, 0.0, 0.5, 2.6, 6.2